[1]
Material: Zr3FeCo2
Method: DFT, PBE
State: relaxed

```
data_Zr3FeCo2
_chemical_formula_sum 'Zr3 Fe1 Co2'
_cell_length_a 7.1295
_cell_length_b 7.1295
_cell_length_c 3.1912
_cell_angle_alpha 90.00
_cell_angle_beta 90.00
_cell_angle_gamma 143.05
_space_group_name_H-M_alt 'P 1'
_space_group_IT_number 1
loop_
_space_group_symop_operation_xyz
'x,y,z'
loop_
_atom_site_label
_atom_site_fract_x
_atom_site_fract_y
_atom_site_fract_z
Zr1 0.0000 0.0000 0.0000
Zr2 0.3347 0.6653 0.0000
Zr3 0.6653 0.3347 0.0000
Fe1 0.5000 0.5000 0.5000
Co1 0.1669 0.8331 0.5000
Co2 0.8331 0.1669 0.5000
```

## Properties
- Calculated total energy: -49.85 eV per formula unit
- Total magnetization: 1.954 μB/f.u.
- Space group: No. 65
- DFT formation energy: -0.2546 eV/atom



[2]
Material: ZrFe2Co
Method: DFT, PBE
State: relaxed

```
data_ZrFe2Co
_chemical_formula_sum 'Zr1 Fe2 Co1'
_cell_length_a 3.0454
_cell_length_b 3.0454
_cell_length_c 6.0867
_cell_angle_alpha 90.00
_cell_angle_beta 90.00
_cell_angle_gamma 90.00
_space_group_name_H-M_alt 'P 1'
_space_group_IT_number 1
loop_
_space_group_symop_operation_xyz
'x,y,z'
loop_
_atom_site_label
_atom_site_fract_x
_atom_site_fract_y
_atom_site_fract_z
Zr1 0.0000 0.0000 0.0000
Fe1 0.5000 0.5000 0.2854
Fe2 0.5000 0.5000 0.7146
Co1 0.0000 0.0000 0.5000
```

## Properties
- Calculated total energy: -32.52 eV per formula unit
- Total magnetization: 5.671 μB/f.u.
- Space group: No. 123
- DFT formation energy: 0.0160 eV/atom



[3]
Material: ZrFe2Co
Method: DFT, PBE
State: relaxed

```
data_ZrFe2Co
_chemical_formula_sum 'Zr1 Fe2 Co1'
_cell_length_a 3.0569
_cell_length_b 3.0569
_cell_length_c 5.9876
_cell_angle_alpha 90.00
_cell_angle_beta 90.00
_cell_angle_gamma 90.00
_space_group_name_H-M_alt 'P 1'
_space_group_IT_number 1
loop_
_space_group_symop_operation_xyz
'x,y,z'
loop_
_atom_site_label
_atom_site_fract_x
_atom_site_fract_y
_atom_site_fract_z
Zr1 0.0000 0.0000 0.0000
Fe1 0.0000 0.0000 0.5012
Fe2 0.5000 0.5000 0.7222
Co1 0.5000 0.5000 0.2795
```

## Properties
- Calculated total energy: -32.77 eV per formula unit
- Total magnetization: 5.460 μB/f.u.
- Space group: No. 99
- DFT formation energy: -0.0486 eV/atom



> The lowest total magnetization belongs to which entry?

Zr3FeCo2